MgScPb2, optimized geometry, DFT PBEsol; DOS(E_F) = 3.1 states/eV per cell; energy of formation from the pure elements = -0.1899 eV per atom
1.0
-3.365 0.098 -0.745
-1.821 -2.924 -0.136
-3.776 -0.101 9.060
Mg Pb Sc
1 2 1
Direct
0.000 0.000 0.000
0.750 0.750 0.751
0.250 0.250 0.249
0.500 0.500 0.500

---

Mg2ScPb, optimized geometry, DFT PBEsol; DOS(E_F) = 3.9 states/eV per cell; energy of formation from the pure elements = -0.0904 eV per atom
1.0
3.408 0.000 0.000
0.000 4.444 0.000
0.000 0.000 6.213
Mg Pb Sc
2 1 1
Direct
0.000 0.000 0.259
0.000 0.000 0.741
0.500 0.500 0.000
0.500 0.500 0.500

---

Mg2ScPb, optimized geometry, DFT PBEsol; DOS(E_F) = 1.6 states/eV per cell; energy of formation from the pure elements = -0.2868 eV per atom
1.0
4.383 0.000 0.000
0.000 4.383 0.000
0.000 0.000 4.603
Sc Pb Mg
1 1 2
Direct
0.000 0.000 0.500
0.500 0.500 0.500
0.000 0.500 0.000
0.500 0.000 0.000

---

MgScPb2, optimized geometry, DFT PBEsol; DOS(E_F) = 1.8 states/eV per cell; energy of formation from the pure elements = -0.2581 eV per atom
1.0
3.501 0.000 -0.001
0.001 5.103 -0.026
-1.752 -1.704 5.479
Mg Pb Sc
1 2 1
Direct
0.751 0.180 0.501
0.000 0.074 0.000
0.245 0.664 0.490
0.504 0.581 0.008

---

MgScPb2, optimized geometry, DFT PBEsol; DOS(E_F) = 2.0 states/eV per cell; energy of formation from the pure elements = -0.2736 eV per atom
1.0
4.206 0.000 0.000
0.000 4.779 0.000
0.000 0.000 4.779
Sc Pb Mg
1 2 1
Direct
0.500 0.000 0.625
0.000 0.500 0.625
0.000 0.000 0.125
0.500 0.500 0.125

---

MgScPb2, optimized geometry, DFT PBEsol; DOS(E_F) = 1.8 states/eV per cell; energy of formation from the pure elements = -0.2827 eV per atom
1.0
4.271 0.000 0.000
0.000 4.271 0.000
-2.136 -2.136 5.228
Pb Mg Sc
2 1 1
Direct
0.250 0.750 0.500
0.000 0.000 0.000
0.750 0.250 0.500
0.500 0.500 0.000

---

MgScPb2, optimized geometry, DFT PBEsol; DOS(E_F) = 2.9 states/eV per cell; energy of formation from the pure elements = -0.1896 eV per atom
1.0
3.393 0.000 0.000
0.000 3.393 0.000
0.000 0.000 8.517
Mg Sc Pb
1 1 2
Direct
0.500 0.500 0.500
0.500 0.500 0.000
0.000 0.000 0.249
0.000 0.000 0.751

---

MgSc2Pb, optimized geometry, DFT PBEsol; DOS(E_F) = 3.3 states/eV per cell; energy of formation from the pure elements = -0.3199 eV per atom
1.0
4.375 0.000 0.000
0.000 4.516 0.000
0.000 0.000 4.516
Sc Pb Mg
2 1 1
Direct
0.000 0.500 0.000
0.000 0.000 0.500
0.500 0.000 0.000
0.500 0.500 0.500

---

Mg2ScPb, optimized geometry, DFT PBEsol; DOS(E_F) = 2.7 states/eV per cell; energy of formation from the pure elements = -0.1292 eV per atom
1.0
-0.716 1.578 -3.307
-2.797 -2.412 -0.545
-4.217 4.227 2.931
Mg Pb Sc
2 1 1
Direct
0.500 0.500 0.239
0.000 0.000 0.006
0.000 0.000 0.504
0.500 0.500 0.751

---

MgScPb, optimized geometry, DFT PBEsol; DOS(E_F) = 2.2 states/eV per cell; energy of formation from the pure elements = -0.1214 eV per atom
1.0
-0.223 -3.985 -2.666
3.978 -2.549 -0.843
0.576 -4.298 2.056
Pb Mg Sc
1 1 1
Direct
0.250 0.250 0.250
0.500 0.500 0.500
0.000 0.000 0.000

---

MgPbSe2, optimized geometry, DFT PBEsol; DOS(E_F) = 0.1 states/eV per cell; raw formation energy = -0.78 eV per atom
1.0
-3.017 2.831 0.072
-2.305 -2.517 2.339
2.322 2.353 4.820
Se Mg Pb
2 1 1
Direct
0.000 0.000 0.500
0.500 0.500 0.000
0.000 0.000 0.000
0.500 0.500 0.500

---

MgPbSe2, optimized geometry, DFT PBEsol; raw formation energy = -0.86 eV per atom
1.0
-0.082 -3.191 2.535
2.788 -0.328 2.956
-3.147 2.267 6.030
Se Pb Mg
2 1 1
Direct
0.761 0.761 0.716
0.239 0.239 0.284
0.000 0.000 0.000
0.500 0.500 0.500

---

MgSi2Pb, optimized geometry, DFT PBEsol; DOS(E_F) = 1.5 states/eV per cell; raw formation energy = 0.35 eV per atom; excess energy over the best structure of this formula in the dataset = 83.5 meV per atom
1.0
4.493 0.000 0.000
0.000 4.239 0.000
0.000 0.000 4.239
Mg Si Pb
1 2 1
Direct
0.500 0.500 0.500
0.000 0.500 0.000
0.000 0.000 0.500
0.500 0.000 0.000

---

MgSi2Pb, optimized geometry, DFT PBEsol; DOS(E_F) = 1.8 states/eV per cell; raw formation energy = 0.35 eV per atom; excess energy over the best structure of this formula in the dataset = 86.7 meV per atom
1.0
4.195 0.000 0.000
0.000 4.195 0.000
-2.098 -2.098 4.581
Mg Si Pb
1 2 1
Direct
0.500 0.500 0.000
0.750 0.250 0.500
0.250 0.750 0.500
0.000 0.000 0.000

---

MgSi2Pb, optimized geometry, DFT PBEsol; DOS(E_F) = 1.6 states/eV per cell; raw formation energy = 0.26 eV per atom; excess energy over the best structure of this formula in the dataset = 0.0 meV per atom
1.0
-3.244 -1.403 1.038
1.089 0.084 3.518
-2.269 5.668 0.567
Si Mg Pb
2 1 1
Direct
0.000 0.000 0.193
0.000 0.000 0.807
0.500 0.500 0.000
0.500 0.500 0.500

---

MgSiPb2, optimized geometry, DFT PBEsol; DOS(E_F) = 2.4 states/eV per cell; raw formation energy = 0.14 eV per atom
1.0
-0.369 1.425 3.080
1.224 -2.834 1.457
7.665 3.057 -0.495
Mg Si Pb
1 1 2
Direct
0.500 0.500 0.709
0.000 0.000 0.527
0.000 0.000 0.973
0.500 0.500 0.291

---

Mg2SiPb, optimized geometry, DFT PBEsol; DOS(E_F) = 1.8 states/eV per cell; raw formation energy = 0.02 eV per atom
1.0
-2.588 2.098 0.421
-0.543 -1.247 2.878
4.927 5.428 3.282
Mg Pb Si
2 1 1
Direct
0.000 0.000 0.709
0.000 0.000 0.291
0.500 0.500 0.000
0.500 0.500 0.500

---

MgSi2Pb, optimized geometry, DFT PBEsol; DOS(E_F) = 2.5 states/eV per cell; raw formation energy = 0.41 eV per atom; excess energy over the best structure of this formula in the dataset = 152.4 meV per atom
1.0
4.907 0.000 0.000
2.453 4.249 0.000
2.453 1.416 4.006
Mg Si Pb
1 2 1
Direct
0.000 0.000 0.000
0.250 0.250 0.250
0.750 0.750 0.750
0.500 0.500 0.500

---

Mg2Sn2Pb, optimized geometry, DFT PBEsol; DOS(E_F) = 1.6 states/eV per cell; energy of formation from the pure elements = -0.0220 eV per atom; excess energy over the best structure of this formula in the dataset = 83.4 meV per atom
1.0
-0.199 -4.320 -1.848
4.611 0.175 -0.906
-1.046 -0.311 6.823
Sn Pb Mg
2 1 2
Direct
0.386 0.386 0.773
0.614 0.614 0.227
0.000 0.000 0.000
0.750 0.250 0.500
0.250 0.750 0.500

---

Mg2Sn2Pb, optimized geometry, DFT PBEsol; DOS(E_F) = 3.5 states/eV per cell; energy of formation from the pure elements = -0.1054 eV per atom; excess energy over the best structure of this formula in the dataset = 0.0 meV per atom
1.0
3.290 0.000 0.000
0.000 8.754 0.000
0.000 0.000 8.754
Sn Mg Pb
4 4 2
Direct
0.000 0.338 0.838
0.000 0.838 0.662
0.000 0.162 0.338
0.000 0.662 0.162
0.500 0.866 0.366
0.500 0.134 0.634
0.500 0.366 0.134
0.500 0.634 0.866
0.000 0.500 0.500
0.000 0.000 0.000

---

| no. | total DFT energy (no corrections) (eV per atom) | V (Å³ per cell) |
| --- | --- | --- |
| 1 | -4.270 | 98.9 |
| 2 | -3.600 | 94.1 |
| 3 | -3.796 | 88.4 |
| 4 | -4.338 | 97.7 |
| 5 | -4.354 | 96.1 |
| 6 | -4.363 | 95.4 |
| 7 | -4.270 | 98.1 |
| 8 | -5.051 | 89.2 |
| 9 | -3.639 | 92.7 |
| 10 | -4.228 | 78.2 |
| 11 | -4.134 | 100.1 |
| 12 | -4.215 | 97.5 |
| 13 | -3.957 | 80.7 |
| 14 | -3.954 | 80.6 |
| 15 | -4.041 | 83.2 |
| 16 | -3.722 | 96.3 |
| 17 | -3.274 | 85.9 |
| 18 | -3.888 | 83.5 |
| 19 | -3.212 | 134.0 |
| 20 | -3.296 | 252.1 |